HoGa4CuRh2: optimized geometry, PBE.

The structure belongs to space group R-3m (No. 166, hexagonal axes); the cell edges are 4.2557, 4.2557 and 25.2976 Å and the angles 90.00°, 90.00° and 120.00°. The asymmetric unit holds Ho at (0.0000, 0.0000, 0.0000), Ga at (0.0000, 0.0000, 0.1306), Ga at (0.0000, 0.0000, 0.3981), Cu at (0.0000, 0.0000, 0.5000) and Rh at (0.0000, 0.0000, 0.2345).

Its formation energy is -0.52 eV per atom.

Ho2GaCu2Rh5: optimized geometry, PBE.

The structure belongs to space group P4/mbm (No. 127); the cell edges are 9.3027, 9.3027 and 3.7516 Å and the angles 90.00°, 90.00° and 90.00°. The asymmetric unit holds Ho at (0.1734, 0.3266, 0.0000), Ga at (0.0000, 0.0000, 0.0000), Cu at (0.1246, 0.6246, 0.0000), Rh at (0.0000, 0.5000, 0.5000) and Rh at (0.0676, 0.7995, 0.5000).

Its formation energy is -0.52 eV per atom.

Ho4GaCuRu2: optimized geometry, PBE.

The structure belongs to space group R-3m (No. 166, hexagonal axes); the cell edges are 4.8745, 4.8745 and 23.8650 Å and the angles 90.00°, 90.00° and 120.00°. The asymmetric unit holds Ho at (0.0000, 0.0000, 0.1224), Ho at (0.0000, 0.0000, 0.3729), Ga at (0.0000, 0.0000, 0.5000), Cu at (0.0000, 0.0000, 0.0000) and Ru at (0.0000, 0.0000, 0.2489).

Its formation energy is -0.41 eV per atom.

Ho2Ga4CuRu3: optimized geometry, PBE.

The structure belongs to space group P-4m2 (No. 115); the cell edges are 3.9985, 3.9985 and 11.1082 Å and the angles 90.00°, 90.00° and 90.00°. The asymmetric unit holds Ho at (0.0000, 0.5000, 0.2403), Ga at (0.0000, 0.0000, 0.0000), Ga at (0.0000, 0.5000, 0.6325), Ga at (0.5000, 0.5000, 0.0000), Cu at (0.0000, 0.0000, 0.5000), Ru at (0.0000, 0.5000, 0.8573) and Ru at (0.5000, 0.5000, 0.5000).

Its formation energy is -0.41 eV per atom.

Ho2Ga4Cu3Ru: optimized geometry, PBE.

The structure belongs to space group P-4m2 (No. 115); the cell edges are 4.0229, 4.0229 and 10.6309 Å and the angles 90.00°, 90.00° and 90.00°. The asymmetric unit holds Ho at (0.0000, 0.5000, 0.2484), Ga at (0.0000, 0.0000, 0.0000), Ga at (0.0000, 0.5000, 0.6367), Ga at (0.5000, 0.5000, 0.0000), Cu at (0.0000, 0.5000, 0.8622), Cu at (0.5000, 0.5000, 0.5000) and Ru at (0.0000, 0.0000, 0.5000).

Its formation energy is -0.44 eV per atom.

Ho4GaCu2Ru: optimized geometry, PBE.

The structure belongs to space group R-3m (No. 166, hexagonal axes); the cell edges are 4.9055, 4.9055 and 24.0087 Å and the angles 90.00°, 90.00° and 120.00°. The asymmetric unit holds Ho at (0.0000, 0.0000, 0.1196), Ho at (0.0000, 0.0000, 0.3709), Ga at (0.0000, 0.0000, 0.5000), Cu at (0.0000, 0.0000, 0.2465) and Ru at (0.0000, 0.0000, 0.0000).

Its formation energy is -0.42 eV per atom.

HoGa4Cu2Ru: optimized geometry, PBE.

The structure belongs to space group R-3m (No. 166, hexagonal axes); the cell edges are 4.1591, 4.1591 and 26.6129 Å and the angles 90.00°, 90.00° and 120.00°. The asymmetric unit holds Ho at (0.0000, 0.0000, 0.0000), Ga at (0.0000, 0.0000, 0.1302), Ga at (0.0000, 0.0000, 0.4000), Cu at (0.0000, 0.0000, 0.2347) and Ru at (0.0000, 0.0000, 0.5000).

Its formation energy is -0.29 eV per atom.

HoGaCuRu: optimized geometry, PBE.

The structure belongs to space group F-43m (No. 216); the cell edges are 6.4423, 6.4423 and 6.4423 Å and the angles 90.00°, 90.00° and 90.00°. The asymmetric unit holds Ho at (0.0000, 0.0000, 0.0000), Ga at (0.0000, 0.0000, 0.5000), Cu at (0.2500, 0.2500, 0.2500) and Ru at (0.2500, 0.2500, 0.7500).

Its formation energy is -0.25 eV per atom.

Ho2GaCuS5: optimized geometry, PBE.

The structure belongs to space group Cmc2_1 (No. 36); the cell edges are 3.7556, 17.8815 and 10.7890 Å and the angles 90.00°, 90.00° and 90.00°. The asymmetric unit holds Ho at (0.0000, 0.1014, 0.0000), Ho at (0.0000, 0.1142, 0.6197), Ga at (0.0000, 0.4065, 0.7955), Cu at (0.0000, 0.2549, 0.4374), S at (0.0000, 0.0397, 0.3838), S at (0.0000, 0.3141, 0.9698), S at (0.0000, 0.3192, 0.6404), S at (0.0000, 0.3587, 0.3159) and S at (0.0000, 0.4974, 0.6119).

Its uncorrected formation energy is -1322 meV/atom.

HoScGaCu: optimized geometry, PBE.

The structure belongs to space group F-43m (No. 216); the cell edges are 6.8453, 6.8453 and 6.8453 Å and the angles 90.00°, 90.00° and 90.00°. The asymmetric unit holds Ho at (0.0000, 0.0000, 0.0000), Sc at (0.0000, 0.0000, 0.5000), Ga at (0.2500, 0.2500, 0.7500) and Cu at (0.2500, 0.2500, 0.2500).

Its formation energy is -0.43 eV per atom.

HoScGa2Cu2: optimized geometry, PBE.

The structure belongs to space group P-3m1 (No. 164); the cell edges are 4.2959, 4.2959 and 6.7430 Å and the angles 90.00°, 90.00° and 120.00°. The asymmetric unit holds Ho at (0.0000, 0.0000, 0.0000), Sc at (0.0000, 0.0000, 0.5000), Ga at (0.3333, 0.6667, 0.2788) and Cu at (0.3333, 0.6667, 0.7166).

Its formation energy is -0.51 eV per atom.

Ho2GaCu4Si3: optimized geometry, PBE.

The structure belongs to space group P-4m2 (No. 115); the cell edges are 3.9774, 3.9774 and 10.1092 Å and the angles 90.00°, 90.00° and 90.00°. The asymmetric unit holds Ho at (0.0000, 0.5000, 0.2417), Ga at (0.0000, 0.0000, 0.5000), Cu at (0.0000, 0.0000, 0.0000), Cu at (0.0000, 0.5000, 0.6405), Cu at (0.5000, 0.5000, 0.0000), Si at (0.0000, 0.5000, 0.8692) and Si at (0.5000, 0.5000, 0.5000).

Its uncorrected formation energy is -526 meV/atom.

Ho2Ga3Cu4Si: optimized geometry, PBE.

The structure belongs to space group P-4m2 (No. 115); the cell edges are 4.0917, 4.0917 and 10.0175 Å and the angles 90.00°, 90.00° and 90.00°. The asymmetric unit holds Ho at (0.0000, 0.5000, 0.2482), Ga at (0.0000, 0.0000, 0.0000), Ga at (0.0000, 0.5000, 0.6336), Cu at (0.0000, 0.0000, 0.5000), Cu at (0.0000, 0.5000, 0.8713), Cu at (0.5000, 0.5000, 0.5000) and Si at (0.5000, 0.5000, 0.0000).

Its uncorrected formation energy is -424 meV/atom.

SmHoGaCu: optimized geometry, PBE.

The structure belongs to space group F-43m (No. 216); the cell edges are 7.1358, 7.1358 and 7.1358 Å and the angles 90.00°, 90.00° and 90.00°. The asymmetric unit holds Sm at (0.0000, 0.0000, 0.0000), Ho at (0.0000, 0.0000, 0.5000), Ga at (0.2500, 0.2500, 0.2500) and Cu at (0.2500, 0.2500, 0.7500).

Its formation energy is -0.39 eV per atom.

Ho2Ga3Cu4Sn: optimized geometry, PBE.

The structure belongs to space group P-4m2 (No. 115); the cell edges are 4.1449, 4.1449 and 10.4248 Å and the angles 90.00°, 90.00° and 90.00°. The asymmetric unit holds Ho at (0.0000, 0.5000, 0.2320), Ga at (0.0000, 0.5000, 0.8744), Ga at (0.5000, 0.5000, 0.5000), Cu at (0.0000, 0.0000, 0.0000), Cu at (0.0000, 0.5000, 0.6483), Cu at (0.5000, 0.5000, 0.0000) and Sn at (0.0000, 0.0000, 0.5000).

Its formation energy is -0.39 eV per atom.

SrHoGaCu: optimized geometry, PBE.

The structure belongs to space group F-43m (No. 216); the cell edges are 7.3205, 7.3205 and 7.3205 Å and the angles 90.00°, 90.00° and 90.00°. The asymmetric unit holds Sr at (0.0000, 0.0000, 0.0000), Ho at (0.0000, 0.0000, 0.5000), Ga at (0.2500, 0.2500, 0.2500) and Cu at (0.2500, 0.2500, 0.7500).

Its formation energy is -0.21 eV per atom.

TbHoGaCu: optimized geometry, PBE.

The structure belongs to space group F-43m (No. 216); the cell edges are 7.0722, 7.0722 and 7.0722 Å and the angles 90.00°, 90.00° and 90.00°. The asymmetric unit holds Tb at (0.0000, 0.0000, 0.0000), Ho at (0.0000, 0.0000, 0.5000), Ga at (0.2500, 0.2500, 0.7500) and Cu at (0.2500, 0.2500, 0.2500).

Its formation energy is -0.42 eV per atom.

Tb2HoGa2Cu2: optimized geometry, PBE.

The structure belongs to space group R-3m (No. 166, hexagonal axes); the cell edges are 4.3674, 4.3674 and 27.5480 Å and the angles 90.00°, 90.00° and 120.00°. The asymmetric unit holds Tb at (0.0000, 0.0000, 0.1234), Ho at (0.0000, 0.0000, 0.0000), Ga at (0.0000, 0.0000, 0.2652) and Cu at (0.0000, 0.0000, 0.3959).

Its formation energy is -0.40 eV per atom.

HoGa4Cu2Tc: optimized geometry, PBE.

The structure belongs to space group R-3m (No. 166, hexagonal axes); the cell edges are 4.1553, 4.1553 and 26.9582 Å and the angles 90.00°, 90.00° and 120.00°. The asymmetric unit holds Ho at (0.0000, 0.0000, 0.0000), Ga at (0.0000, 0.0000, 0.1298), Ga at (0.0000, 0.0000, 0.3999), Cu at (0.0000, 0.0000, 0.2341) and Tc at (0.0000, 0.0000, 0.5000).

Its formation energy is -0.22 eV per atom.

HoThGaCu: optimized geometry, PBE.

The structure belongs to space group F-43m (No. 216); the cell edges are 7.1836, 7.1836 and 7.1836 Å and the angles 90.00°, 90.00° and 90.00°. The asymmetric unit holds Ho at (0.0000, 0.0000, 0.0000), Th at (0.0000, 0.0000, 0.5000), Ga at (0.2500, 0.2500, 0.7500) and Cu at (0.2500, 0.2500, 0.2500).

Its formation energy is -0.30 eV per atom.